Below is a geometry-optimized Ho3Be2AlPt9 structure, with properties calculated at the PBE level.

Summary:
calculated total energy = -92.84 eV/f.u.
density = 14.27 g/cm³
Fermi-level density of states = 5.70 states/eV/f.u.
ΔH_f (0 K) = -87 kJ per mole of atoms

Cell and atoms, written as POSCAR:
```
Ho3Be2AlPt9
1.0
5.716 0.000 0.000
-2.858 4.950 0.000
0.000 0.000 9.442
Ho Be Al Pt
3 2 1 9
Direct
0.000 0.000 0.000
0.333 0.667 0.602
0.667 0.333 0.398
0.333 0.667 0.153
0.667 0.333 0.847
0.000 0.000 0.500
0.000 0.500 0.000
0.165 0.330 0.303
0.165 0.835 0.303
0.330 0.165 0.697
0.500 0.000 0.000
0.500 0.500 0.000
0.670 0.835 0.303
0.835 0.165 0.697
0.835 0.670 0.697
```



Below is a geometry-optimized HoBe2AlPt5 structure, with properties calculated at the PBE level.

Summary:
calculated total energy = -52.54 eV/f.u.
density = 12.98 g/cm³
Fermi-level density of states = 2.34 states/eV/f.u.
ΔH_f (0 K) = -70 kJ per mole of atoms

Cell and atoms, written as POSCAR:
```
HoBe2AlPt5
1.0
4.031 0.000 0.000
0.000 4.031 0.000
0.000 0.000 9.331
Ho Be Al Pt
1 2 1 5
Direct
0.000 0.000 0.000
0.500 0.500 0.232
0.500 0.500 0.768
0.000 0.000 0.500
0.000 0.500 0.333
0.000 0.500 0.667
0.500 0.000 0.333
0.500 0.000 0.667
0.500 0.500 0.000
```



Below is a geometry-optimized HoBe2AlPt4 structure, with properties calculated at the PBE level.

Summary:
calculated total energy = -46.73 eV/f.u.
density = 13.22 g/cm³
Fermi-level density of states = 3.92 states/eV/f.u.
ΔH_f (0 K) = -82 kJ per mole of atoms

Cell and atoms, written as POSCAR:
```
HoBe2AlPt4
1.0
2.051 1.184 8.541
-2.051 1.184 8.541
0.000 -2.368 8.541
Ho Be Al Pt
1 2 1 4
Direct
0.000 0.000 0.000
0.245 0.245 0.245
0.755 0.755 0.755
0.500 0.500 0.500
0.131 0.131 0.131
0.403 0.403 0.403
0.597 0.597 0.597
0.869 0.869 0.869
```



Below is a geometry-optimized Ho2BeAlPt6 structure, with properties calculated at the PBE level.

Summary:
calculated total energy = -62.38 eV/f.u.
density = 13.99 g/cm³
Fermi-level density of states = 2.29 states/eV/f.u.
ΔH_f (0 K) = -92 kJ per mole of atoms

Cell and atoms, written as POSCAR:
```
Ho2BeAlPt6
1.0
2.819 1.627 6.624
-2.819 1.627 6.624
0.000 -3.255 6.624
Ho Be Al Pt
2 1 1 6
Direct
0.209 0.209 0.209
0.791 0.791 0.791
0.000 0.000 0.000
0.500 0.500 0.500
0.242 0.242 0.732
0.242 0.732 0.242
0.268 0.758 0.758
0.732 0.242 0.242
0.758 0.268 0.758
0.758 0.758 0.268
```



Below is a geometry-optimized HoBeAlPt3 structure, with properties calculated at the PBE level.

Summary:
calculated total energy = -34.73 eV/f.u.
density = 12.08 g/cm³
Fermi-level density of states = 3.18 states/eV/f.u.
ΔH_f (0 K) = -73 kJ per mole of atoms

Cell and atoms, written as POSCAR:
```
HoBeAlPt3
1.0
3.410 -5.802 0.000
3.410 5.802 0.000
0.000 0.000 5.465
Ho Be Al Pt
2 2 2 6
Direct
0.199 0.801 0.750
0.801 0.199 0.250
0.117 0.883 0.250
0.883 0.117 0.750
0.468 0.532 0.750
0.532 0.468 0.250
0.202 0.202 0.000
0.202 0.202 0.500
0.310 0.690 0.250
0.690 0.310 0.750
0.798 0.798 0.000
0.798 0.798 0.500
```



Below is a geometry-optimized Ho2Be3AlPt4 structure, with properties calculated at the PBE level.

Summary:
calculated total energy = -58.03 eV/f.u.
density = 12.06 g/cm³
Fermi-level density of states = 4.52 states/eV/f.u.
ΔH_f (0 K) = -94 kJ per mole of atoms

Cell and atoms, written as POSCAR:
```
Ho2Be3AlPt4
1.0
4.029 0.000 0.000
0.000 4.029 0.000
0.000 0.000 9.877
Ho Be Al Pt
2 3 1 4
Direct
0.000 0.500 0.240
0.500 0.000 0.760
0.000 0.500 0.881
0.500 0.000 0.119
0.500 0.500 0.500
0.000 0.000 0.500
0.000 0.000 0.000
0.000 0.500 0.645
0.500 0.000 0.355
0.500 0.500 0.000
```



Below is a geometry-optimized HoScBeAl structure, with properties calculated at the PBE level.

Summary:
calculated total energy = -19.06 eV/f.u.
density = 5.19 g/cm³
Fermi-level density of states = 3.07 states/eV/f.u.
ΔH_f (0 K) = -16 kJ per mole of atoms

Cell and atoms, written as POSCAR:
```
HoScBeAl
1.0
0.000 3.401 3.401
3.401 0.000 3.401
3.401 3.401 0.000
Ho Sc Be Al
1 1 1 1
Direct
0.000 0.000 0.000
0.500 0.500 0.500
0.750 0.750 0.750
0.250 0.250 0.250
```



Below is a geometry-optimized TbHoBeAl structure, with properties calculated at the PBE level.

Summary:
calculated total energy = -17.19 eV/f.u.
density = 6.83 g/cm³
Fermi-level density of states = 3.46 states/eV/f.u.
ΔH_f (0 K) = -12 kJ per mole of atoms

Cell and atoms, written as POSCAR:
```
TbHoBeAl
1.0
0.000 3.523 3.523
3.523 0.000 3.523
3.523 3.523 0.000
Tb Ho Be Al
1 1 1 1
Direct
0.000 0.000 0.000
0.500 0.500 0.500
0.250 0.250 0.250
0.750 0.750 0.750
```



Below is a geometry-optimized HoThBeAl structure, with properties calculated at the PBE level.

Summary:
calculated total energy = -19.70 eV/f.u.
density = 7.90 g/cm³
Fermi-level density of states = 1.13 states/eV/f.u.
ΔH_f (0 K) = -6 kJ per mole of atoms

Cell and atoms, written as POSCAR:
```
HoThBeAl
1.0
0.000 3.571 3.571
3.571 0.000 3.571
3.571 3.571 0.000
Ho Th Be Al
1 1 1 1
Direct
0.000 0.000 0.000
0.500 0.500 0.500
0.250 0.250 0.250
0.750 0.750 0.750
```



Below is a geometry-optimized HoTmBeAl structure, with properties calculated at the PBE level.

Summary:
calculated total energy = -17.08 eV/f.u.
density = 7.24 g/cm³
Fermi-level density of states = 2.96 states/eV/f.u.
ΔH_f (0 K) = -14 kJ per mole of atoms

Cell and atoms, written as POSCAR:
```
HoTmBeAl
1.0
0.000 3.487 3.487
3.487 0.000 3.487
3.487 3.487 0.000
Ho Tm Be Al
1 1 1 1
Direct
0.000 0.000 0.000
0.500 0.500 0.500
0.750 0.750 0.750
0.250 0.250 0.250
```



Below is a geometry-optimized BeAl3I structure, with properties calculated at the PBE level.

Summary:
calculated total energy = -8.50 eV/f.u.
density = 1.82 g/cm³
Fermi-level density of states = 3.30 states/eV/f.u.
energy above the most stable polymorph in this dataset = 1.2432 eV/atom

Cell and atoms, written as POSCAR:
```
BeAl3I
1.0
5.832 0.000 0.000
0.000 5.832 0.000
0.000 0.000 5.832
Be Al I
1 3 1
Direct
0.000 0.000 0.000
0.000 0.500 0.500
0.500 0.000 0.500
0.500 0.500 0.000
0.500 0.500 0.500
```



Below is a geometry-optimized Be3AlI structure, with properties calculated at the PBE level.

Summary:
calculated total energy = -7.93 eV/f.u.
density = 2.79 g/cm³
Fermi-level density of states = 1.68 states/eV/f.u.
energy above the most stable polymorph in this dataset = 0.7183 eV/atom

Cell and atoms, written as POSCAR:
```
Be3AlI
1.0
4.760 0.000 0.000
0.000 4.760 0.000
0.000 0.000 4.760
Be Al I
3 1 1
Direct
0.000 0.000 0.500
0.000 0.500 0.000
0.500 0.000 0.000
0.500 0.500 0.500
0.000 0.000 0.000
```



Below is a geometry-optimized BeAl2I structure, with properties calculated at the PBE level.

Summary:
calculated total energy = -10.95 eV/f.u.
density = 2.96 g/cm³
Fermi-level density of states = 2.82 states/eV/f.u.
energy above the most stable polymorph in this dataset = 0.0000 eV/atom

Cell and atoms, written as POSCAR:
```
BeAl2I
1.0
-2.903 2.903 6.321
2.903 -2.903 6.321
2.903 2.903 -6.321
Be Al I
2 4 2
Direct
0.000 0.000 0.000
0.750 0.250 0.500
0.006 0.625 0.881
0.375 0.256 0.381
0.744 0.125 0.119
0.875 0.994 0.619
0.250 0.750 0.500
0.500 0.500 0.000
```



Below is a geometry-optimized BeAl3I structure, with properties calculated at the PBE level.

Summary:
calculated total energy = -14.71 eV/f.u.
density = 3.41 g/cm³
Fermi-level density of states = 2.42 states/eV/f.u.
energy above the most stable polymorph in this dataset = 0.0000 eV/atom

Cell and atoms, written as POSCAR:
```
BeAl3I
1.0
4.726 0.000 0.000
0.000 4.726 0.000
0.000 0.000 4.726
Be Al I
1 3 1
Direct
0.000 0.000 0.000
0.000 0.000 0.500
0.000 0.500 0.000
0.500 0.000 0.000
0.500 0.500 0.500
```



Below is a geometry-optimized Be2AlI8 structure, with properties calculated at the PBE level.

Summary:
calculated total energy = -28.50 eV/f.u.
density = 3.77 g/cm³
Fermi-level density of states = 1.60 states/eV/f.u.

Cell and atoms, written as POSCAR:
```
Be2AlI8
1.0
5.525 -6.422 0.000
5.525 6.422 0.000
-0.932 0.000 6.576
Be Al I
2 1 8
Direct
0.219 0.219 0.164
0.781 0.781 0.836
0.000 0.000 0.500
0.032 0.737 0.707
0.212 0.212 0.797
0.263 0.968 0.293
0.441 0.441 0.248
0.559 0.559 0.752
0.737 0.032 0.707
0.788 0.788 0.203
0.968 0.263 0.293
```



Below is a geometry-optimized BeAl2I structure, with properties calculated at the PBE level.

Summary:
calculated total energy = -9.20 eV/f.u.
density = 3.80 g/cm³
Fermi-level density of states = 3.18 states/eV/f.u.
energy above the most stable polymorph in this dataset = 0.4384 eV/atom

Cell and atoms, written as POSCAR:
```
BeAl2I
1.0
0.000 3.462 3.462
3.462 0.000 3.462
3.462 3.462 0.000
Be Al I
1 2 1
Direct
0.000 0.000 0.000
0.250 0.250 0.250
0.750 0.750 0.750
0.500 0.500 0.500
```



Below is a geometry-optimized Be3AlI structure, with properties calculated at the PBE level.

Summary:
calculated total energy = -11.52 eV/f.u.
density = 2.98 g/cm³
Fermi-level density of states = 0.13 states/eV/f.u.
energy above the most stable polymorph in this dataset = 0.0000 eV/atom

Cell and atoms, written as POSCAR:
```
Be3AlI
1.0
4.652 0.000 0.000
0.000 4.652 0.000
0.000 0.000 4.652
Be Al I
3 1 1
Direct
0.000 0.000 0.500
0.000 0.500 0.000
0.500 0.000 0.000
0.000 0.000 0.000
0.500 0.500 0.500
```



Below is a geometry-optimized BeAl2I8 structure, with properties calculated at the PBE level.

Summary:
calculated total energy = -29.51 eV/f.u.
density = 3.43 g/cm³
Fermi-level density of states = 0.00 states/eV/f.u.

Cell and atoms, written as POSCAR:
```
BeAl2I8
1.0
7.121 -5.300 0.000
7.121 5.300 0.000
-0.362 0.000 6.912
Be Al I
1 2 8
Direct
0.000 0.000 0.000
0.183 0.183 0.384
0.817 0.817 0.616
0.096 0.741 0.786
0.179 0.179 0.751
0.259 0.904 0.214
0.351 0.351 0.291
0.649 0.649 0.709
0.741 0.096 0.786
0.821 0.821 0.249
0.904 0.259 0.214
```



Below is a geometry-optimized BeAlI2N structure, with properties calculated at the PBE level.

Summary:
calculated total energy = -17.02 eV/f.u.
density = 3.80 g/cm³
Fermi-level density of states = 1.92 states/eV/f.u.
energy above the most stable polymorph in this dataset = 0.0000 eV/atom

Cell and atoms, written as POSCAR:
```
BeAlI2N
1.0
6.597 0.000 0.000
0.000 6.597 0.000
0.000 0.000 3.049
Be Al I N
1 1 2 1
Direct
0.000 0.000 0.000
0.500 0.500 0.500
0.000 0.500 0.000
0.500 0.000 0.000
0.000 0.000 0.500
```



Below is a geometry-optimized BeAlI2N structure, with properties calculated at the PBE level.

Summary:
calculated total energy = -15.84 eV/f.u.
density = 4.44 g/cm³
Fermi-level density of states = 4.06 states/eV/f.u.
energy above the most stable polymorph in this dataset = 0.2345 eV/atom

Cell and atoms, written as POSCAR:
```
BeAlI2N
1.0
5.636 0.000 0.000
0.000 5.636 0.000
0.000 0.000 3.579
Be Al I N
1 1 2 1
Direct
0.000 0.000 0.000
0.500 0.500 0.500
0.000 0.500 0.500
0.500 0.000 0.500
0.500 0.500 0.000
```